A geometry-optimized KTi3W structure. Source: the Alexandria database, functional PBE-GGA.

Unit cell a=4.436 b=4.436 c=4.436 alpha=90.00 beta=90.00 gamma=90.00
Atoms (fractional coordinates):
K  0.000  0.000  0.000
W  0.500  0.500  0.500
Ti  0.000  0.500  0.000
Ti  0.000  0.000  0.500
Ti  0.500  0.000  0.000

Results
V: 87.29 Å³/cell
space-group type: No. 221
energy of formation: 2.15 eV/atom